# 1
LiSc2Tc: relaxed, PBE.

## Properties
**Volume**: 18.29 Å³ per atom
**Distance to the lowest polymorph of the same formula**: 195 meV/atom
**Energy of formation from the pure elements**: 0.056 eV per atom

a b c (Å): 3.441 4.543 9.359
angles (deg): 90.00 90.00 90.00
Space group Imm2 (No. 44)
Unique sites:
Li  0.000  0.000  0.000 [2 per cell]
Sc  0.000  0.000  0.449 [2 per cell]
Sc  0.000  0.500  0.233 [2 per cell]
Tc  0.000  0.500  0.721 [2 per cell]


# 2
Li2ScTc: relaxed, PBE.

## Properties
**Volume**: 16.85 Å³ per atom
**Distance to the lowest polymorph of the same formula**: 30 meV/atom
**Energy of formation from the pure elements**: 0.173 eV per atom

a b c (Å): 3.031 4.358 5.102
angles (deg): 90.00 90.00 90.00
Space group Pmmm (No. 47)
Unique sites:
Li  0.000  0.000  0.000 [1 per cell]
Li  0.500  0.500  0.000 [1 per cell]
Sc  0.000  0.500  0.500 [1 per cell]
Tc  0.500  0.000  0.500 [1 per cell]


# 3
LiSc2Tc: relaxed, PBE.

## Properties
**Volume**: 38.65 Å³ per atom
**Distance to the lowest polymorph of the same formula**: 1051 meV/atom
**Energy of formation from the pure elements**: 0.912 eV per atom

a b c (Å): 7.470 7.470 11.083
angles (deg): 90.00 90.00 90.00
Space group I4_1/amd (No. 141, origin choice 2)
Unique sites:
Li  0.000  0.250  0.375 [4 per cell]
Sc  0.000  0.000  0.000 [8 per cell]
Tc  0.000  0.250  0.875 [4 per cell]


# 4
Li2ScTc: relaxed, PBE.

## Properties
**Volume**: 16.01 Å³ per atom
**Distance to the lowest polymorph of the same formula**: 148 meV/atom
**Energy of formation from the pure elements**: 0.291 eV per atom

a b c (Å): 3.228 4.796 8.273
angles (deg): 90.00 90.00 90.00
Space group Imm2 (No. 44)
Unique sites:
Li  0.000  0.000  0.000 [2 per cell]
Li  0.000  0.500  0.270 [2 per cell]
Sc  0.000  0.500  0.777 [2 per cell]
Tc  0.000  0.000  0.523 [2 per cell]